VASP calculation (PBE) on a relaxed HfBiSeBr2 crystal.

**DFT total energy**: -4.47 eV per atom
**ρ**: 7.0 g/cm3

Cell lengths 5.3147, 5.3147, 5.2756 Å; angles 90.00, 90.00, 90.00 degrees
Sites, in units of the cell vectors:
Hf 0.0000 0.0000 0.0000
Bi 0.5000 0.5000 0.5000
Se 0.0000 0.0000 0.5000
Br 0.0000 0.5000 0.0000
Br 0.5000 0.0000 0.0000